# 1
## Ge3SbO (PBE)

Data for crystalline Ge3SbO at its relaxed geometry.

Values from the calculation:
Energy above the most stable polymorph in this dataset in eV per atom: 1.374
Electronic total energy in eV per atom: -3.230
Formation energy from raw total energies in eV per atom: 1.357
Calculated volume in Å³ per cell: 155
Crystal system: cubic

a = 5.371 Å, b = 5.371 Å, c = 5.371 Å
α = 90.00°, β = 90.00°, γ = 90.00°
Space group Pm-3m (No. 221)
Unique sites:
Ge  0.000  0.000  0.500 x3
Sb  0.000  0.000  0.000 x1
O  0.500  0.500  0.500 x1



# 2
## SrGeSb2O8 (PBE)

Data for crystalline SrGeSb2O8 at its relaxed geometry.

Values from the calculation:
Electronic total energy in eV per atom: -6.096
Formation energy from raw total energies in eV per atom: -1.579
Calculated volume in Å³ per cell: 154
Crystal system: monoclinic

a = 4.875 Å, b = 6.516 Å, c = 4.883 Å
α = 90.00°, β = 95.49°, γ = 90.00°
Space group P2/m (No. 10)
Unique sites:
Sr  0.000  0.000  0.000 x1
Ge  0.000  0.500  0.000 x1
Sb  0.500  0.260  0.500 x2
O  0.201  0.294  0.197 x4
O  0.303  0.500  0.693 x2
O  0.330  0.000  0.665 x2



# 3
## SrGe2SbO8 (PBE)

Data for crystalline SrGe2SbO8 at its relaxed geometry.

Values from the calculation:
Electronic total energy in eV per atom: -6.075
Formation energy from raw total energies in eV per atom: -1.516
Calculated volume in Å³ per cell: 503
Crystal system: trigonal

a = 4.9638 Å, b = 4.9638 Å, c = 23.5559 Å
α = 90.00°, β = 90.00°, γ = 120.00°
Space group R32 (No. 155, hexagonal axes)
Unique sites:
Sr  0.0000  0.0000  0.0000 x3
Ge  0.0000  0.0000  0.2432 x6
Sb  0.0000  0.0000  0.5000 x3
O  0.0000  0.0000  0.3174 x6
O  0.0014  0.3140  0.4451 x18



# 4
## TaGeSb2O (PBE)

Data for crystalline TaGeSb2O at its relaxed geometry.

Values from the calculation:
Electronic total energy in eV per atom: -5.926
Formation energy from raw total energies in eV per atom: 0.009
Calculated volume in Å³ per cell: 107
Crystal system: tetragonal

a = 5.229 Å, b = 5.229 Å, c = 3.896 Å
α = 90.00°, β = 90.00°, γ = 90.00°
Space group P4/mmm (No. 123)
Unique sites:
Ta  0.000  0.000  0.000 x1
Ge  0.500  0.500  0.000 x1
Sb  0.000  0.500  0.500 x2
O  0.000  0.000  0.500 x1



# 5
## TbGe2SbO8 (PBE)

Data for crystalline TbGe2SbO8 at its relaxed geometry.

Values from the calculation:
Electronic total energy in eV per atom: -6.660
Formation energy from raw total energies in eV per atom: -1.855
Calculated volume in Å³ per cell: 302
Crystal system: tetragonal

a = 6.931 Å, b = 6.931 Å, c = 6.290 Å
α = 90.00°, β = 90.00°, γ = 90.00°
Space group I-4m2 (No. 119)
Unique sites:
Tb  0.000  0.000  0.000 x2
Ge  0.000  0.000  0.500 x2
Ge  0.000  0.500  0.750 x2
Sb  0.000  0.500  0.250 x2
O  0.000  0.193  0.314 x8
O  0.000  0.324  0.954 x8



# 6
## TlGe2SbO6 (PBE)

Data for crystalline TlGe2SbO6 at its relaxed geometry.

Values from the calculation:
Electronic total energy in eV per atom: -5.903
Formation energy from raw total energies in eV per atom: -1.356
Calculated volume in Å³ per cell: 642
Crystal system: monoclinic

a = 11.146 Å, b = 10.293 Å, c = 5.787 Å
α = 90.00°, β = 104.89°, γ = 90.00°
Space group C2/c (No. 15)
Unique sites:
Tl  0.000  0.109  0.250 x4
Ge  0.249  0.400  0.199 x8
Sb  0.000  0.332  0.750 x4
O  0.110  0.315  0.127 x8
O  0.117  0.196  0.678 x8
O  0.242  0.026  0.081 x8



# 7
## Tl3Ge2SbO8 (PBE)

Data for crystalline Tl3Ge2SbO8 at its relaxed geometry.

Values from the calculation:
Electronic total energy in eV per atom: -5.504
Formation energy from raw total energies in eV per atom: -1.209
Calculated volume in Å³ per cell: 238
Crystal system: trigonal

a = 5.6792 Å, b = 5.6792 Å, c = 8.5216 Å
α = 90.00°, β = 90.00°, γ = 120.00°
Space group P-3m1 (No. 164)
Unique sites:
Tl  0.0000  0.0000  0.0000 x1
Tl  0.3333  0.6667  0.8068 x2
Ge  0.3333  0.6667  0.3005 x2
Sb  0.0000  0.0000  0.5000 x1
O  0.1592  0.3185  0.3554 x6
O  0.3333  0.6667  0.0966 x2



# 8
## Tl2GeSbO4 (PBE)

Data for crystalline Tl2GeSbO4 at its relaxed geometry.

Values from the calculation:
Electronic total energy in eV per atom: -5.269
Formation energy from raw total energies in eV per atom: -1.106
Calculated volume in Å³ per cell: 317
Crystal system: orthorhombic

a = 7.312 Å, b = 8.488 Å, c = 5.106 Å
α = 90.00°, β = 90.00°, γ = 90.00°
Space group Pmn2_1 (No. 31)
Unique sites:
Tl  0.232  0.136  0.000 x4
Ge  0.000  0.407  0.482 x2
Sb  0.000  0.676  0.009 x2
O  0.000  0.450  0.135 x2
O  0.000  0.599  0.631 x2
O  0.200  0.297  0.551 x4



# 9
## TlGeSb2O8 (PBE)

Data for crystalline TlGeSb2O8 at its relaxed geometry.

Values from the calculation:
Electronic total energy in eV per atom: -5.791
Formation energy from raw total energies in eV per atom: -1.217
Calculated volume in Å³ per cell: 152
Crystal system: monoclinic

a = 4.830 Å, b = 6.513 Å, c = 4.834 Å
α = 90.00°, β = 92.30°, γ = 90.00°
Space group P2/m (No. 10)
Unique sites:
Tl  0.000  0.000  0.000 x1
Ge  0.000  0.500  0.000 x1
Sb  0.500  0.259  0.500 x2
O  0.195  0.283  0.193 x4
O  0.301  0.500  0.697 x2
O  0.323  0.000  0.676 x2



# 10
## Tl2GeSbO6 (PBE)

Data for crystalline Tl2GeSbO6 at its relaxed geometry.

Values from the calculation:
Electronic total energy in eV per atom: -5.344
Formation energy from raw total energies in eV per atom: -1.022
Calculated volume in Å³ per cell: 192
Crystal system: trigonal

a = 6.4106 Å, b = 6.4106 Å, c = 5.3847 Å
α = 90.00°, β = 90.00°, γ = 120.00°
Space group P-3m1 (No. 164)
Unique sites:
Tl  0.3333  0.6667  0.0546 x2
Ge  0.0000  0.0000  0.0000 x1
Sb  0.0000  0.0000  0.5000 x1
O  0.1325  0.2650  0.2370 x6



# 11
## TlGeSbO4 (PBE)

Data for crystalline TlGeSbO4 at its relaxed geometry.

Values from the calculation:
Electronic total energy in eV per atom: -5.731
Formation energy from raw total energies in eV per atom: -1.312
Calculated volume in Å³ per cell: 297
Crystal system: monoclinic

a = 6.953 Å, b = 5.737 Å, c = 8.003 Å
α = 90.00°, β = 111.47°, γ = 90.00°
Space group P2_1/m (No. 11)
Unique sites:
Tl  0.213  0.250  0.019 x2
Ge  0.200  0.750  0.712 x2
Sb  0.279  0.250  0.541 x2
O  0.016  0.750  0.482 x2
O  0.091  0.750  0.873 x2
O  0.365  0.502  0.725 x4



Question: Number 8 is which compound?
Answer: Tl2GeSbO4